# 1
{
  "formula": "Mg3HI",
  "functional": "GGA-PBE",
  "state": "optimized geometry",
  "cell": [[4.817, 0.000, 0.000], [0.000, 4.817, 0.000], [0.000, 0.000, 4.817]],
  "species": ["I", "H", "Mg", "Mg", "Mg"],
  "fractional_positions": [[0.500, 0.500, 0.500], [0.000, 0.000, 0.000], [0.000, 0.500, 0.000], [0.000, 0.000, 0.500], [0.500, 0.000, 0.000]]
}


# 2
{
  "formula": "NiHOs",
  "functional": "GGA-PBE",
  "state": "optimized geometry",
  "cell": [[4.599, 0.000, 0.001], [0.000, 2.736, 0.000], [-1.552, 0.000, 8.791]],
  "species": ["Ni", "Ni", "Ni", "Ni", "H", "H", "H", "H", "Os", "Os", "Os", "Os"],
  "fractional_positions": [[0.639, 0.000, 0.458], [0.639, 0.500, 0.958], [0.870, 0.000, 0.208], [0.870, 0.500, 0.708], [0.551, 0.000, 0.071], [0.551, 0.500, 0.571], [0.743, 0.000, 0.824], [0.743, 0.500, 0.324], [0.139, 0.000, 0.958], [0.139, 0.500, 0.458], [0.345, 0.000, 0.706], [0.345, 0.500, 0.206]]
}


# 3
{
  "formula": "La2PmDy4Tm",
  "functional": "GGA-PBE",
  "state": "optimized geometry",
  "ef_ev_per_atom": 0.026,
  "cell": [[-5.086, 8.554, 2.479], [-8.560, -4.125, -3.359], [10.179, -2.041, 6.782]],
  "species": ["La", "La", "La", "La", "Pm", "Pm", "Dy", "Dy", "Dy", "Dy", "Dy", "Dy", "Dy", "Dy", "Tm", "Tm"],
  "fractional_positions": [[0.500, 0.000, 0.000], [0.500, 0.000, 0.500], [0.000, 0.000, 0.500], [0.500, 0.500, 0.000], [0.000, 0.500, 0.000], [0.000, 0.500, 0.500], [0.248, 0.757, 0.003], [0.752, 0.261, 0.506], [0.248, 0.739, 0.494], [0.752, 0.243, 0.998], [0.752, 0.752, 0.997], [0.752, 0.751, 0.506], [0.248, 0.249, 0.494], [0.248, 0.248, 0.002], [0.500, 0.500, 0.500], [0.000, 0.000, 0.000]]
}


# 4
{
  "formula": "K2H2WSe4",
  "functional": "GGA-PBE",
  "state": "optimized geometry",
  "cell": [[6.368, -1.184, -0.806], [-0.023, 6.721, 1.084], [-0.023, 3.476, 5.853]],
  "species": ["K", "K", "H", "H", "W", "Se", "Se", "Se", "Se"],
  "fractional_positions": [[0.299, 0.668, 0.668], [0.701, 0.332, 0.332], [0.394, 0.127, 0.127], [0.606, 0.873, 0.873], [0.500, 0.000, 0.000], [0.222, 0.642, 0.173], [0.778, 0.827, 0.358], [0.778, 0.358, 0.827], [0.222, 0.173, 0.642]]
}


# 5
{
  "formula": "BaMgMnSi2",
  "functional": "GGA-PBE",
  "state": "optimized geometry",
  "formation_energy_uncorrected_ev_per_atom": -0.150,
  "cell": [[-0.231, -4.540, 0.270], [3.774, -0.383, -3.223], [2.961, 0.055, 3.460]],
  "species": ["Mg", "Si", "Si", "Mn", "Ba"],
  "fractional_positions": [[0.000, 0.500, 0.000], [0.000, 0.000, 0.500], [0.500, 0.000, 0.000], [0.000, 0.000, 0.000], [0.500, 0.500, 0.500]]
}


# 6
{
  "formula": "Mn5SiB2",
  "functional": "GGA-PBE",
  "state": "optimized geometry",
  "formation_energy_uncorrected_ev_per_atom": -0.411,
  "cell": [[-2.777, 2.777, 5.145], [2.777, -2.777, 5.145], [2.777, 2.777, -5.145]],
  "species": ["Mn", "Mn", "Mn", "Mn", "Mn", "Mn", "Mn", "Mn", "Mn", "Mn", "Si", "Si", "B", "B", "B", "B"],
  "fractional_positions": [[0.500, 0.500, 0.000], [0.000, 0.000, 0.000], [0.530, 0.030, 0.834], [0.196, 0.696, 0.166], [0.030, 0.196, 0.500], [0.696, 0.530, 0.500], [0.470, 0.970, 0.166], [0.804, 0.304, 0.834], [0.970, 0.804, 0.500], [0.304, 0.470, 0.500], [0.250, 0.250, 0.000], [0.750, 0.750, 0.000], [0.879, 0.379, 0.259], [0.121, 0.621, 0.741], [0.379, 0.121, 0.500], [0.621, 0.879, 0.500]]
}


# 7
{
  "formula": "K2BaFe",
  "functional": "GGA-PBE",
  "state": "optimized geometry",
  "ef_ev_per_atom": 0.814,
  "cell": [[-0.955, 3.752, -1.533], [-1.930, 0.963, 3.562], [9.693, 4.155, 4.130]],
  "species": ["Ba", "Fe", "K", "K"],
  "fractional_positions": [[0.500, 0.500, 0.250], [0.500, 0.500, 0.750], [0.000, 0.000, 0.931], [0.000, 0.000, 0.569]]
}


# 8
{
  "formula": "Ce3Ho2Tl6",
  "functional": "GGA-PBE",
  "state": "optimized geometry",
  "ef_ev_per_atom": 0.116,
  "cell": [[-2.912, -5.174, -0.062], [2.302, -1.359, 5.301], [-8.350, 8.079, 2.373]],
  "species": ["Ce", "Ce", "Ce", "Ho", "Ho", "Tl", "Tl", "Tl", "Tl", "Tl", "Tl"],
  "fractional_positions": [[0.000, 0.000, 0.000], [0.859, 0.859, 0.719], [0.141, 0.141, 0.281], [0.425, 0.425, 0.849], [0.575, 0.575, 0.151], [0.073, 0.573, 0.145], [0.573, 0.073, 0.145], [0.927, 0.427, 0.855], [0.427, 0.927, 0.855], [0.714, 0.714, 0.428], [0.286, 0.286, 0.572]]
}


# 9
{
  "formula": "TmAgSn",
  "functional": "GGA-PBE",
  "state": "optimized geometry",
  "ef_ev_per_atom": -0.549,
  "cell": [[4.708, 0.000, 0.000], [-2.354, 4.078, 0.000], [0.000, 0.000, 7.318]],
  "species": ["Tm", "Tm", "Sn", "Sn", "Ag", "Ag"],
  "fractional_positions": [[0.000, 0.000, 0.978], [0.000, 0.000, 0.478], [0.333, 0.667, 0.199], [0.667, 0.333, 0.699], [0.333, 0.667, 0.794], [0.667, 0.333, 0.294]]
}


# 10
{
  "formula": "CsTi2SnSb",
  "functional": "GGA-PBE",
  "state": "optimized geometry",
  "formation_energy_uncorrected_ev_per_atom": 0.954,
  "cell": [[-3.374, 4.065, 0.121], [-4.246, -3.427, -3.277], [-2.028, -1.818, 4.528]],
  "species": ["Cs", "Sb", "Sn", "Ti", "Ti"],
  "fractional_positions": [[0.000, 0.500, 0.000], [0.500, 0.500, 0.500], [0.000, 0.000, 0.000], [0.000, 0.000, 0.500], [0.500, 0.000, 0.000]]
}


# 11
{
  "formula": "ScCoSeBr2",
  "functional": "GGA-PBE",
  "state": "optimized geometry",
  "formation_energy_uncorrected_ev_per_atom": -0.203,
  "cell": [[4.736, 0.000, 0.000], [0.000, 4.736, 0.000], [0.000, 0.000, 4.910]],
  "species": ["Sc", "Co", "Se", "Br", "Br"],
  "fractional_positions": [[0.500, 0.500, 0.500], [0.000, 0.000, 0.000], [0.000, 0.000, 0.500], [0.000, 0.500, 0.000], [0.500, 0.000, 0.000]]
}


# 12
{
  "formula": "Rb2SnCl2F2",
  "functional": "GGA-PBE",
  "state": "optimized geometry",
  "formation_energy_uncorrected_ev_per_atom": -2.073,
  "cell": [[4.766, 0.000, 0.000], [0.000, 4.766, 0.000], [-2.383, -2.383, 8.600]],
  "species": ["Rb", "Rb", "Sn", "Cl", "Cl", "F", "F"],
  "fractional_positions": [[0.363, 0.363, 0.726], [0.637, 0.637, 0.274], [0.000, 0.000, 0.000], [0.168, 0.168, 0.336], [0.832, 0.832, 0.664], [0.000, 0.500, 0.000], [0.500, 0.000, 0.000]]
}


# 13
{
  "formula": "Pu7AuBr12",
  "functional": "GGA-PBE",
  "state": "optimized geometry",
  "formation_energy_uncorrected_ev_per_atom": -1.286,
  "cell": [[9.095, -0.205, -2.775], [-3.692, 8.314, -2.775], [-0.137, -0.205, 9.508]],
  "species": ["Pu", "Pu", "Pu", "Pu", "Pu", "Pu", "Pu", "Au", "Br", "Br", "Br", "Br", "Br", "Br", "Br", "Br", "Br", "Br", "Br", "Br"],
  "fractional_positions": [[0.962, 0.652, 0.880], [0.348, 0.120, 0.038], [0.120, 0.038, 0.348], [0.500, 0.500, 0.500], [0.880, 0.962, 0.652], [0.652, 0.880, 0.962], [0.038, 0.348, 0.120], [0.000, 0.000, 0.000], [0.925, 0.310, 0.776], [0.690, 0.224, 0.075], [0.464, 0.159, 0.384], [0.841, 0.616, 0.536], [0.224, 0.075, 0.690], [0.616, 0.536, 0.841], [0.384, 0.464, 0.159], [0.776, 0.925, 0.310], [0.159, 0.384, 0.464], [0.536, 0.841, 0.616], [0.310, 0.776, 0.925], [0.075, 0.690, 0.224]]
}


# 14
{
  "formula": "KOsSe4",
  "functional": "GGA-PBE",
  "state": "optimized geometry",
  "formation_energy_uncorrected_ev_per_atom": 0.970,
  "cell": [[0.000, 4.120, 4.120], [4.120, 0.000, 4.120], [4.120, 4.120, 0.000]],
  "species": ["K", "Os", "Se", "Se", "Se", "Se"],
  "fractional_positions": [[0.750, 0.750, 0.750], [0.000, 0.000, 0.000], [0.880, 0.373, 0.373], [0.373, 0.373, 0.880], [0.373, 0.880, 0.373], [0.373, 0.373, 0.373]]
}


# 15
{
  "formula": "Mg5ZnRh6",
  "functional": "GGA-PBE",
  "state": "optimized geometry",
  "ef_ev_per_atom": -0.458,
  "cell": [[4.216, -0.007, -1.184], [-3.163, 6.143, -3.180], [-0.161, -0.887, 7.552]],
  "species": ["Mg", "Mg", "Mg", "Mg", "Mg", "Rh", "Rh", "Rh", "Rh", "Rh", "Rh", "Zn"],
  "fractional_positions": [[0.500, 0.169, 0.831], [0.000, 0.334, 0.666], [0.500, 0.500, 0.500], [0.000, 0.666, 0.334], [0.500, 0.831, 0.169], [0.246, 0.082, 0.410], [0.754, 0.590, 0.918], [0.740, 0.241, 0.241], [0.260, 0.759, 0.759], [0.246, 0.410, 0.082], [0.754, 0.918, 0.590], [0.000, 0.000, 0.000]]
}


# 16
{
  "formula": "AgBiPb2",
  "functional": "GGA-PBE",
  "state": "optimized geometry",
  "ef_ev_per_atom": 0.095,
  "cell": [[-0.717, -4.661, 0.730], [3.599, 1.454, -2.775], [3.786, 0.204, 5.018]],
  "species": ["Ag", "Bi", "Pb", "Pb"],
  "fractional_positions": [[0.000, 0.000, 0.000], [0.000, 0.000, 0.500], [0.333, 0.667, 0.204], [0.667, 0.333, 0.796]]
}


# 17
{
  "formula": "TbEr2Os",
  "functional": "GGA-PBE",
  "state": "optimized geometry",
  "ef_ev_per_atom": 0.245,
  "cell": [[3.405, 0.000, 0.000], [1.702, 2.949, 0.000], [1.702, 0.983, 10.852]],
  "species": ["Tb", "Os", "Er", "Er"],
  "fractional_positions": [[0.000, 0.000, 0.000], [0.500, 0.500, 0.500], [0.105, 0.105, 0.684], [0.895, 0.895, 0.316]]
}


# 18
{
  "formula": "K6V3Br14",
  "functional": "GGA-PBE",
  "state": "optimized geometry",
  "formation_energy_uncorrected_ev_per_atom": -1.290,
  "cell": [[6.869, 0.000, 0.000], [0.000, 10.218, -5.899], [0.000, 0.000, 11.799]],
  "species": ["K", "K", "K", "K", "K", "K", "V", "V", "V", "Br", "Br", "Br", "Br", "Br", "Br", "Br", "Br", "Br", "Br", "Br", "Br", "Br", "Br"],
  "fractional_positions": [[0.255, 0.798, 0.104], [0.255, 0.896, 0.694], [0.255, 0.306, 0.202], [0.776, 0.538, 0.554], [0.776, 0.446, 0.984], [0.776, 0.016, 0.462], [0.828, 0.000, 0.000], [0.354, 0.333, 0.667], [0.459, 0.667, 0.333], [0.968, 0.079, 0.216], [0.968, 0.784, 0.863], [0.968, 0.137, 0.921], [0.487, 0.249, 0.450], [0.487, 0.550, 0.799], [0.487, 0.201, 0.751], [0.473, 0.000, 0.000], [0.001, 0.333, 0.667], [0.677, 0.744, 0.200], [0.677, 0.800, 0.544], [0.677, 0.456, 0.256], [0.247, 0.589, 0.469], [0.247, 0.531, 0.121], [0.247, 0.879, 0.411]]
}


# 19
{
  "formula": "Ba2NaLiTl6",
  "functional": "GGA-PBE",
  "state": "optimized geometry",
  "ef_ev_per_atom": -0.201,
  "cell": [[6.398, 0.001, 0.007], [0.004, 10.395, -0.029], [3.196, 5.004, 5.142]],
  "species": ["Ba", "Ba", "Na", "Li", "Tl", "Tl", "Tl", "Tl", "Tl", "Tl"],
  "fractional_positions": [[0.246, 0.719, 0.507], [0.754, 0.281, 0.493], [0.500, 0.500, 0.000], [0.000, 0.000, 0.000], [0.239, 0.752, 0.021], [0.741, 0.753, 0.020], [0.247, 0.090, 0.506], [0.761, 0.248, 0.979], [0.259, 0.247, 0.980], [0.753, 0.910, 0.494]]
}


# 20
{
  "formula": "Ac2TmRhO6",
  "functional": "GGA-PBE",
  "state": "optimized geometry",
  "formation_energy_uncorrected_ev_per_atom": -2.700,
  "cell": [[5.807, 0.000, 0.000], [0.000, 5.990, 0.000], [0.000, 0.000, 8.306]],
  "species": ["Ac", "Ac", "Ac", "Ac", "Tm", "Tm", "Rh", "Rh", "O", "O", "O", "O", "O", "O", "O", "O", "O", "O", "O", "O"],
  "fractional_positions": [[0.500, 0.778, 0.235], [0.000, 0.222, 0.735], [0.500, 0.778, 0.765], [0.000, 0.222, 0.265], [0.000, 0.727, 0.500], [0.500, 0.273, 0.000], [0.500, 0.233, 0.500], [0.000, 0.767, 0.000], [0.500, 0.219, 0.256], [0.500, 0.219, 0.744], [0.000, 0.781, 0.244], [0.000, 0.781, 0.756], [0.251, 0.995, 0.500], [0.749, 0.995, 0.500], [0.247, 0.466, 0.500], [0.753, 0.466, 0.500], [0.747, 0.534, 0.000], [0.253, 0.534, 0.000], [0.249, 0.005, 0.000], [0.751, 0.005, 0.000]]
}


no.,DFT total energy (eV/atom)
1,-1.746
2,-6.614
3,-4.660
4,-4.333
5,-4.857
6,-8.489
7,-2.331
8,-3.626
9,-4.324
10,-4.000
11,-4.256
12,-3.983
13,-7.470
14,-3.407
15,-4.904
16,-3.442
17,-6.001
18,-3.784
19,-2.329
20,-7.679